[1]
DFT (PBE) results for a relaxed structure of BaMnW2.

abc: 5.132 5.132 16.170
angles: 90.00 90.00 90.00
Sites, in units of the cell vectors:
Ba (0.000, 0.250, 0.375)
Ba (0.000, 0.750, 0.625)
Ba (0.500, 0.250, 0.125)
Ba (0.500, 0.750, 0.875)
Mn (0.000, 0.250, 0.875)
Mn (0.000, 0.750, 0.125)
Mn (0.500, 0.250, 0.625)
Mn (0.500, 0.750, 0.375)
W (0.000, 0.000, 0.000)
W (0.000, 0.500, 0.000)
W (0.250, 0.250, 0.750)
W (0.250, 0.750, 0.250)
W (0.500, 0.000, 0.500)
W (0.500, 0.500, 0.500)
W (0.750, 0.250, 0.750)
W (0.750, 0.750, 0.250)

Calculated values
* crystal system: tetragonal
* space-group type: I4_1/amd (141)
* formation energy: 144.5 kJ/mol of atoms


[2]
DFT (PBE) results for a relaxed structure of Ca2Be2ZnPt5.

abc: 9.610 9.610 3.402
angles: 90.00 90.00 90.00
Sites, in units of the cell vectors:
Ca (0.177, 0.323, 0.000)
Ca (0.323, 0.823, 0.000)
Ca (0.677, 0.177, 0.000)
Ca (0.823, 0.677, 0.000)
Be (0.122, 0.622, 0.000)
Be (0.378, 0.122, 0.000)
Be (0.622, 0.878, 0.000)
Be (0.878, 0.378, 0.000)
Zn (0.000, 0.000, 0.000)
Zn (0.500, 0.500, 0.000)
Pt (0.000, 0.500, 0.500)
Pt (0.067, 0.787, 0.500)
Pt (0.213, 0.067, 0.500)
Pt (0.287, 0.567, 0.500)
Pt (0.433, 0.287, 0.500)
Pt (0.500, 0.000, 0.500)
Pt (0.567, 0.713, 0.500)
Pt (0.713, 0.433, 0.500)
Pt (0.787, 0.933, 0.500)
Pt (0.933, 0.213, 0.500)

Calculated values
* crystal system: tetragonal
* space-group type: P4/mbm (127)
* formation energy: -78.8 kJ/mol of atoms


Asked for D(E_F) across the records above, the calculation gives 23.125; 4.745 states/eV/cell in order.